# 1
Crystalline FeB2Rh at its relaxed geometry. Source: the Alexandria database, functional PBE-GGA.

Lattice parameters (Å, degrees): 3.684 3.684 3.684 60.00 60.00 60.00
Atoms (fractional coordinates):
B: 0.250 0.250 0.250
B: 0.750 0.750 0.750
Rh: 0.500 0.500 0.500
Fe: 0.000 0.000 0.000

Properties
Magnetization   0.00 μB/cell
Space group   Fm-3m (225)
ρ   8.47 g cm⁻³
N(E_F)   0.466 states/eV/atom
Energy above the lowest structure with this stoichiometry   0.0 meV/atom
Crystal system   cubic
DFT formation energy   0.22 kcal/mol of atoms



# 2
Crystalline ScTe2F at its relaxed geometry. Source: the Alexandria database, functional PBE-GGA.

Lattice parameters (Å, degrees): 4.402 4.402 10.552 77.96 77.96 90.00
Atoms (fractional coordinates):
Te: 0.375 0.372 0.750
Te: 0.122 0.625 0.250
Te: 0.628 0.125 0.250
Te: 0.875 0.878 0.750
Sc: 0.750 0.250 0.500
Sc: 0.000 0.000 0.000
F: 0.250 0.750 0.500
F: 0.500 0.500 0.000

Properties
Magnetization   0.00 μB/cell
Space group   I-42d (122)
ρ   5.43 g cm⁻³
N(E_F)   0.503 states/eV/atom
Energy above the lowest structure with this stoichiometry   201.2 meV/atom
Crystal system   tetragonal



# 3
Crystalline Ca2Zn3AgSn4 at its relaxed geometry. Source: the Alexandria database, functional PBE-GGA.

Lattice parameters (Å, degrees): 4.548 4.548 11.691 90.00 90.00 90.00
Atoms (fractional coordinates):
Sn: 0.500 0.000 0.638
Sn: 0.000 0.500 0.362
Sn: 0.500 0.500 0.000
Sn: 0.000 0.000 0.000
Zn: 0.000 0.500 0.142
Zn: 0.000 0.000 0.500
Zn: 0.500 0.000 0.858
Ag: 0.500 0.500 0.500
Ca: 0.000 0.500 0.736
Ca: 0.500 0.000 0.264

Properties
Magnetization   0.00 μB/cell
Space group   P-4m2 (115)
ρ   5.90 g cm⁻³
N(E_F)   0.280 states/eV/atom
Crystal system   tetragonal
DFT formation energy   -6.49 kcal/mol of atoms



# 4
Crystalline RbMn2Al at its relaxed geometry. Source: the Alexandria database, functional PBE-GGA.

Lattice parameters (Å, degrees): 5.402 5.402 9.621 73.69 73.69 90.00
Last column: magnetic moment on the atom in μB.
Atoms (fractional coordinates):
Mn: 0.375 0.625 0.750  3.75
Mn: 0.375 0.625 0.250  3.67
Mn: 0.375 0.125 0.250  3.69
Mn: 0.875 0.625 0.750  3.74
Al: 0.500 0.500 0.000  -0.11
Al: 0.250 0.750 0.500  -0.11
Rb: 0.750 0.250 0.500  0.00
Rb: 0.000 0.000 0.000  0.00

Properties
Magnetization   15.47 μB/cell
Space group   I4_1/amd (141)
ρ   2.87 g cm⁻³
N(E_F)   0.889 states/eV/atom
Crystal system   tetragonal
DFT formation energy   20.56 kcal/mol of atoms



Question: Which value of N(E_F) does entry 1 give?
Answer: 0.466 states/eV/atom



Question: What is the magnetization in the second record?
Answer: 0.00 μB/cell



Copy entry 2 word for word.
Crystalline ScTe2F at its relaxed geometry. Source: the Alexandria database, functional PBE-GGA.

Lattice parameters (Å, degrees): 4.402 4.402 10.552 77.96 77.96 90.00
Atoms (fractional coordinates):
Te: 0.375 0.372 0.750
Te: 0.122 0.625 0.250
Te: 0.628 0.125 0.250
Te: 0.875 0.878 0.750
Sc: 0.750 0.250 0.500
Sc: 0.000 0.000 0.000
F: 0.250 0.750 0.500
F: 0.500 0.500 0.000

Properties
Magnetization   0.00 μB/cell
Space group   I-42d (122)
ρ   5.43 g cm⁻³
N(E_F)   0.503 states/eV/atom
Energy above the lowest structure with this stoichiometry   201.2 meV/atom
Crystal system   tetragonal



Question: Which formula does entry 4 have?
Answer: RbMn2Al